(1)
Compound: Cd2HgMo
Source: the Alexandria database
Functional: PBEsol
Structure: optimized geometry

```
data_Cd2HgMo
_cell_length_a 9.963
_cell_length_b 2.867
_cell_length_c 5.328
_cell_angle_alpha 90.00
_cell_angle_beta 101.18
_cell_angle_gamma 90.00
_space_group_name_H-M_alt 'C 1 m 1'
_space_group_IT_number 8
_space_group_name_Hall 'C -2y'
loop_
_atom_site_label
_atom_site_fract_x
_atom_site_fract_y
_atom_site_fract_z
_atom_site_occupancy
Cd1 0.000 0.000 0.000 1
Cd2 0.247 0.000 0.754 1
Hg1 0.494 0.000 0.475 1
Mo1 0.246 0.500 0.253 1
```

* E_tot: -3.273 eV/atom
* spin magnetization: 0.00 Bohr magnetons per cell
* energy relative to the elements: 158 kJ/mol of formula units
* Fermi-level density of states: 4.692 states/eV/cell

=====

(2)
Compound: NdSi2Ni9
Source: the Alexandria database
Functional: PBEsol
Structure: optimized geometry

```
data_NdSi2Ni9
_cell_length_a 9.690
_cell_length_b 9.690
_cell_length_c 6.124
_cell_angle_alpha 90.00
_cell_angle_beta 90.00
_cell_angle_gamma 90.00
_space_group_name_H-M_alt 'I 41/a m d'
_space_group_IT_number 141
loop_
_space_group_symop_operation_xyz
'x,y,z'
'-x,-y,-z'
'-y+1/4,x+3/4,z+1/4'
'y+1/4,-x+3/4,-z+1/4'
'-x+1/2,-y,z+1/2'
'x+1/2,y,-z+1/2'
'y+1/4,-x+1/4,z+3/4'
'-y+1/4,x+1/4,-z+3/4'
'x,-y,-z'
'-x,y,z'
'-y+1/4,-x+1/4,-z+3/4'
'y+1/4,x+1/4,z+3/4'
'-x+1/2,y,-z+1/2'
'x+1/2,-y,z+1/2'
'y+1/4,x+3/4,-z+1/4'
'-y+1/4,-x+3/4,z+1/4'
'x+1/2,y+1/2,z+1/2'
'-x+1/2,-y+1/2,-z+1/2'
'-y+3/4,x+1/4,z+3/4'
'y+3/4,-x+1/4,-z+3/4'
'-x,-y+1/2,z'
'x,y+1/2,-z'
'y+3/4,-x+3/4,z+1/4'
'-y+3/4,x+3/4,-z+1/4'
'x+1/2,-y+1/2,-z+1/2'
'-x+1/2,y+1/2,z+1/2'
'-y+3/4,-x+3/4,-z+1/4'
'y+3/4,x+3/4,z+1/4'
'-x,y+1/2,-z'
'x,-y+1/2,z'
'y+3/4,x+1/4,-z+3/4'
'-y+3/4,-x+1/4,z+3/4'
loop_
_atom_site_label
_atom_site_fract_x
_atom_site_fract_y
_atom_site_fract_z
_atom_site_occupancy
Nd1 0.000 0.250 0.375 1
Si1 0.000 0.000 0.000 1
Ni1 0.000 0.250 0.875 1
Ni2 0.125 0.046 0.687 1
```

* E_tot: -6.510 eV/atom
* spin magnetization: 0.00 Bohr magnetons per cell
* Fermi-level density of states: 41.385 states/eV/cell

=====

(3)
Compound: AlSiHg
Source: the Alexandria database
Functional: PBEsol
Structure: optimized geometry

```
data_AlSiHg
_cell_length_a 6.284
_cell_length_b 6.284
_cell_length_c 6.284
_cell_angle_alpha 90.00
_cell_angle_beta 90.00
_cell_angle_gamma 90.00
_space_group_name_H-M_alt 'F -4 3 m'
_space_group_IT_number 216
_space_group_name_Hall 'F -4 2 3'
loop_
_atom_site_label
_atom_site_fract_x
_atom_site_fract_y
_atom_site_fract_z
_atom_site_occupancy
Al1 0.000 0.000 0.000 1
Si1 0.000 0.000 0.500 1
Hg1 0.250 0.250 0.750 1
```

* E_tot: -3.064 eV/atom
* spin magnetization: 0.00 Bohr magnetons per cell
* Fermi-level density of states: 6.424 states/eV/cell